Density functional theory data (PBE-GGA) for a geometry-optimized Pr12Nd7Sc structure.

## Properties
Space-group type: R-3
E_form (eV per atom): 0.25
DFT total energy (Ry per atom): -0.338
Total magnetization (μB/f.u.): 0.00
Relative energy among the computed polymorphs (meV/atom): 114

Geometry as POSCAR:
```
Pr12Nd7Sc
1.0
6.663 0.000 1.928
-3.755 9.557 4.657
-0.846 0.000 11.243
Nd Pr Sc
7 12 1
Direct
0.797 0.159 0.139 Nd
0.203 0.841 0.861 Nd
0.064 0.861 0.298 Nd
0.362 0.298 0.841 Nd
0.638 0.702 0.159 Nd
0.500 0.000 0.000 Nd
0.936 0.139 0.702 Nd
0.703 0.789 0.785 Pr
0.251 0.452 0.476 Pr
0.749 0.548 0.524 Pr
0.086 0.574 0.211 Pr
0.297 0.211 0.215 Pr
0.488 0.785 0.426 Pr
0.727 0.476 0.072 Pr
0.273 0.524 0.928 Pr
0.512 0.215 0.574 Pr
0.798 0.072 0.452 Pr
0.202 0.928 0.548 Pr
0.914 0.426 0.789 Pr
0.000 0.000 0.000 Sc
```

=====

Density functional theory data (PBE-GGA) for a geometry-optimized PrPuTh2As4 structure.

## Properties
Space-group type: Imma
E_form (eV per atom): -1.36
DFT total energy (Ry per atom): -0.582
Total magnetization (μB/f.u.): 5.66

Geometry as POSCAR:
```
PrPuTh2As4
1.0
-4.605 7.052 1.129
-3.749 -3.532 6.758
8.460 0.483 -0.377
Th As Pu Pr
4 8 2 2
Direct
0.000 0.000 0.500 Th
0.500 0.000 0.500 Th
0.500 0.500 0.000 Th
0.500 0.000 0.000 Th
0.748 0.752 0.503 As
0.254 0.752 0.503 As
0.252 0.248 0.003 As
0.748 0.752 0.997 As
0.746 0.248 0.497 As
0.748 0.246 0.997 As
0.252 0.248 0.497 As
0.252 0.754 0.003 As
0.500 0.500 0.500 Pu
0.000 0.000 0.000 Pu
0.000 0.500 0.000 Pr
0.000 0.500 0.500 Pr
```